Entry from Alexandria via LeMat-Bulk: crystalline Rb2VTcF6 at its relaxed geometry (PBE with a Hubbard U).

Results
The electronic total energy is -52.4 eV/cell. The calculation puts the density of states at the Fermi level at 0.000 states/eV/atom. The calculated density is 4.6 g/cm3.

a b c (Å): 6.079 6.079 6.079
angles (deg): 120.77 120.77 88.67
Element x y z (fractional)
Rb: 0.250 0.750 0.500
Rb: 0.750 0.250 0.500
V: 0.000 0.000 0.000
Tc: 0.500 0.500 0.000
F: 0.243 0.243 0.000
F: 0.249 0.249 0.497
F: 0.249 0.751 0.000
F: 0.751 0.249 0.000
F: 0.751 0.751 0.503
F: 0.757 0.757 0.000